# 1
Below is a geometry-optimized BaMoRu2 structure, with properties calculated at the PBE-GGA level.

Structure (CIF):
```
data_BaMoRu2
_chemical_formula_sum 'Ba3 Mo3 Ru6'
_cell_length_a 3.1781
_cell_length_b 3.1781
_cell_length_c 27.8842
_cell_angle_alpha 90.00
_cell_angle_beta 90.00
_cell_angle_gamma 120.00
_symmetry_space_group_name_H-M 'R -3 m'
_symmetry_Int_Tables_number 166
_symmetry_space_group_name_Hall '-R 3 2"'
loop_
_atom_site_label
_atom_site_type_symbol
_atom_site_fract_x
_atom_site_fract_y
_atom_site_fract_z
Ba1 Ba 0.0000 0.0000 0.0000
Mo1 Mo 0.0000 0.0000 0.5000
Ru1 Ru 0.0000 0.0000 0.2303
```

Output
energy of formation = 3.1 eV/f.u.
ρ = 8.893 g/cm3
energy above the lowest structure with this stoichiometry = 355 meV/atom
calculated volume = 20.3 Å³/atom
D(E_F) = 1.02 states/eV per atom
total DFT energy (no corrections) = -84.59 eV/cell



# 2
Below is a geometry-optimized BaMoRu2 structure, with properties calculated at the PBE-GGA level.

Structure (CIF):
```
data_BaMoRu2
_chemical_formula_sum 'Ba2 Mo2 Ru4'
_cell_length_a 3.083
_cell_length_b 5.243
_cell_length_c 10.045
_cell_angle_alpha 90.00
_cell_angle_beta 90.00
_cell_angle_gamma 90.00
_symmetry_space_group_name_H-M 'I m m 2'
_symmetry_Int_Tables_number 44
loop_
_symmetry_equiv_pos_as_xyz
'x,y,z'
'-x,-y,z'
'-x,y,z'
'x,-y,z'
'x+1/2,y+1/2,z+1/2'
'-x+1/2,-y+1/2,z+1/2'
'-x+1/2,y+1/2,z+1/2'
'x+1/2,-y+1/2,z+1/2'
loop_
_atom_site_label
_atom_site_type_symbol
_atom_site_fract_x
_atom_site_fract_y
_atom_site_fract_z
Ba1 Ba 0.000 0.000 0.000
Mo1 Mo 0.000 0.500 0.206
Ru1 Ru 0.000 0.000 0.515
Ru2 Ru 0.000 0.500 0.791
```

Output
energy of formation = 3.9 eV/f.u.
ρ = 8.903 g/cm3
energy above the lowest structure with this stoichiometry = 553 meV/atom
calculated volume = 20.3 Å³/atom
D(E_F) = 1.07 states/eV per atom
total DFT energy (no corrections) = -54.81 eV/cell